The following is a PBE-GGA calculation of a relaxed RbAg3Bi crystal, from Alexandria.

The structure in CIF format:
```
data_RbAg3Bi
_chemical_formula_sum 'Rb1 Ag3 Bi1'
_space_group_name_H-M_alt 'P m -3 m'
_space_group_IT_number 221
_space_group_name_Hall '-P 4 2 3'
_cell_length_a 5.6028
_cell_length_b 5.6028
_cell_length_c 5.6028
_cell_angle_alpha 90.00
_cell_angle_beta 90.00
_cell_angle_gamma 90.00
loop_
_atom_site_label
_atom_site_fract_x
_atom_site_fract_y
_atom_site_fract_z
Rb1 0.0000 0.0000 0.0000
Ag1 0.0000 0.0000 0.5000
Bi1 0.5000 0.5000 0.5000
```

Results
Its formation energy is 1.18 eV/atom. The calculation puts the relative energy among the computed polymorphs at 1.0099 eV per atom. As for the crystal system: cubic.